SrAsSeBr2 | GGA-PBE | optimized geometry

Cell: 5.4610 5.4610 5.1891 Å, 90.00 90.00 90.00°
Closest atoms and distances in Å follow each position.
Positions (direct):
Sr: 0.0000 0.0000 0.0000  8 Br 3.77, 4 As 3.86
As: 0.5000 0.5000 0.0000  2 Se 2.59
Se: 0.5000 0.5000 0.5000  2 As 2.59, 4 Br 2.73
Br: 0.0000 0.5000 0.5000  2 Se 2.73
Br: 0.5000 0.0000 0.5000  2 Se 2.73

Values from the calculation:
As for the symmetry: P4/mmm. As for the density of states at the Fermi level: 4.40 states/eV per cell. The calculation puts the formation energy (no corrections) at -0.3974 eV per atom. The value obtained for the size of the total moment is 0.00 μB/f.u. For the offset from the most stable computed form, the calculation gives 0.387 eV per atom.


SrAsSe2Br | GGA-PBE | optimized geometry

Cell: 5.2109 5.2109 5.2202 Å, 90.00 90.00 90.00°
Closest atoms and distances in Å follow each position.
Positions (direct):
Sr: 0.0000 0.0000 0.0000  4 Br 3.68, 8 Se 3.69
As: 0.5000 0.5000 0.5000  4 Se 2.61, 2 Br 2.61
Se: 0.0000 0.5000 0.5000  2 As 2.61
Se: 0.5000 0.0000 0.5000  2 As 2.61
Br: 0.5000 0.5000 0.0000  2 As 2.61

Values from the calculation:
As for the symmetry: P4/mmm. As for the density of states at the Fermi level: 1.90 states/eV per cell. The calculation puts the formation energy (no corrections) at -0.7358 eV per atom. The value obtained for the size of the total moment is 0.00 μB/f.u. For the offset from the most stable computed form, the calculation gives 0.000 eV per atom.


SrAsSe2Br | GGA-PBE | optimized geometry

Cell: 5.8192 5.8192 6.1132 Å, 90.00 90.00 90.00°
Closest atoms and distances in Å follow each position.
Positions (direct):
Sr: 0.0000 0.0000 0.0000  4 Se 2.91, 2 As 3.06
As: 0.0000 0.0000 0.5000  2 Sr 3.06
Se: 0.0000 0.5000 0.0000  2 Sr 2.91
Se: 0.5000 0.0000 0.0000  2 Sr 2.91
Br: 0.5000 0.5000 0.5000  4 As 4.11, 8 Se 4.22

Values from the calculation:
As for the symmetry: P4/mmm. As for the density of states at the Fermi level: 8.05 states/eV per cell. The calculation puts the formation energy (no corrections) at 0.4953 eV per atom. The value obtained for the size of the total moment is 2.57 μB/f.u. For the offset from the most stable computed form, the calculation gives 1.231 eV per atom.


SrAsSeBr2 | GGA-PBE | optimized geometry

Cell: 5.2545 5.2545 5.4632 Å, 90.00 90.00 90.00°
Closest atoms and distances in Å follow each position.
Positions (direct):
Sr: 0.0000 0.0000 0.0000  4 Se 3.72, 8 Br 3.79
As: 0.5000 0.5000 0.5000  4 Br 2.63, 2 Se 2.73
Se: 0.5000 0.5000 0.0000  2 As 2.73
Br: 0.0000 0.5000 0.5000  2 As 2.63
Br: 0.5000 0.0000 0.5000  2 As 2.63

Values from the calculation:
As for the symmetry: P4/mmm. As for the density of states at the Fermi level: 0.25 states/eV per cell. The calculation puts the formation energy (no corrections) at -0.7846 eV per atom. The value obtained for the size of the total moment is 0.00 μB/f.u. For the offset from the most stable computed form, the calculation gives 0.000 eV per atom.


SrAsSeBr2 | GGA-PBE | optimized geometry

Cell: 5.6536 5.6536 6.6123 Å, 90.00 90.00 90.00°
Closest atoms and distances in Å follow each position.
Positions (direct):
Sr: 0.0000 0.0000 0.0000  4 Br 2.83
As: 0.0000 0.0000 0.5000  2 Sr 3.31
Se: 0.5000 0.5000 0.5000  4 As 4.00, 8 Br 4.35
Br: 0.0000 0.5000 0.0000  2 Sr 2.83
Br: 0.5000 0.0000 0.0000  2 Sr 2.83

Values from the calculation:
As for the symmetry: P4/mmm. As for the density of states at the Fermi level: 4.97 states/eV per cell. The calculation puts the formation energy (no corrections) at -0.0326 eV per atom. The value obtained for the size of the total moment is 1.71 μB/f.u. For the offset from the most stable computed form, the calculation gives 0.752 eV per atom.


SrAsSe2Br | GGA-PBE | optimized geometry

Cell: 5.8632 5.8632 5.5752 Å, 90.00 90.00 90.00°
Closest atoms and distances in Å follow each position.
Positions (direct):
Sr: 0.0000 0.0000 0.0000  2 Br 2.79, 4 Se 2.93
As: 0.5000 0.5000 0.5000  8 Se 4.05, 4 Br 4.15
Se: 0.0000 0.5000 0.0000  2 Sr 2.93
Se: 0.5000 0.0000 0.0000  2 Sr 2.93
Br: 0.0000 0.0000 0.5000  2 Sr 2.79

Values from the calculation:
As for the symmetry: P4/mmm. As for the density of states at the Fermi level: 9.20 states/eV per cell. The calculation puts the formation energy (no corrections) at 0.2474 eV per atom. The value obtained for the size of the total moment is 0.00 μB/f.u. For the offset from the most stable computed form, the calculation gives 0.983 eV per atom.


SrAsSe2Br | GGA-PBE | optimized geometry

Cell: 5.3562 5.3562 5.0988 Å, 90.00 90.00 90.00°
Closest atoms and distances in Å follow each position.
Positions (direct):
Sr: 0.0000 0.0000 0.0000  8 Se 3.70, 4 As 3.79
As: 0.5000 0.5000 0.0000  2 Br 2.55
Se: 0.0000 0.5000 0.5000  2 Br 2.68
Se: 0.5000 0.0000 0.5000  2 Br 2.68
Br: 0.5000 0.5000 0.5000  2 As 2.55, 4 Se 2.68

Values from the calculation:
As for the symmetry: P4/mmm. As for the density of states at the Fermi level: 6.95 states/eV per cell. The calculation puts the formation energy (no corrections) at 0.0136 eV per atom. The value obtained for the size of the total moment is 1.17 μB/f.u. For the offset from the most stable computed form, the calculation gives 0.749 eV per atom.


TaAsSeBr2 | GGA-PBE | optimized geometry

Cell: 5.0932 5.0932 5.2992 Å, 90.00 90.00 90.00°
Closest atoms and distances in Å follow each position.
Positions (direct):
Ta: 0.0000 0.0000 0.0000  4 Se 3.60, 8 Br 3.68
As: 0.5000 0.5000 0.5000  4 Br 2.55, 2 Se 2.65
Se: 0.5000 0.5000 0.0000  2 As 2.65
Br: 0.0000 0.5000 0.5000  2 As 2.55
Br: 0.5000 0.0000 0.5000  2 As 2.55

Values from the calculation:
As for the symmetry: P4/mmm. As for the density of states at the Fermi level: 5.85 states/eV per cell. The calculation puts the formation energy (no corrections) at 1.0323 eV per atom. The value obtained for the size of the total moment is 3.56 μB/f.u. For the offset from the most stable computed form, the calculation gives 0.789 eV per atom.